(1)
## CsZrAs2Se (GGA-PBE)

Data for an optimized crystal structure of CsZrAs2Se.

Lattice parameters (Å, degrees): 5.3300 5.3300 5.3942 90.00 90.00 90.00
Sites, in units of the cell vectors:
1 Cs 0.0000 0.0000 0.0000
2 Zr 0.5000 0.5000 0.5000
3 As 0.0000 0.5000 0.5000
4 As 0.5000 0.0000 0.5000
5 Se 0.5000 0.5000 0.0000

Summary:
**Raw formation energy**: -0.4928 eV/atom
**Density of states at the Fermi level**: 5.4 states/eV/cell
**Spin magnetization**: 0.00 μB per atom
**Symmetry**: P4/mmm, No. 123

=====

(2)
## CsZrAs2Se (GGA-PBE)

Data for an optimized crystal structure of CsZrAs2Se.

Lattice parameters (Å, degrees): 5.5360 5.5360 5.3063 90.00 90.00 90.00
Sites, in units of the cell vectors:
1 Cs 0.0000 0.0000 0.0000
2 Zr 0.5000 0.5000 0.5000
3 As 0.0000 0.5000 0.0000
4 As 0.5000 0.0000 0.0000
5 Se 0.0000 0.0000 0.5000

Summary:
**Raw formation energy**: 1.5980 eV/atom
**Density of states at the Fermi level**: 2.9 states/eV/cell
**Spin magnetization**: 0.00 μB per atom
**Symmetry**: P4/mmm, No. 123

=====

(3)
## Cs2ZrAs2Se6 (GGA-PBE)

Data for an optimized crystal structure of Cs2ZrAs2Se6.

Lattice parameters (Å, degrees): 6.7804 6.7804 9.0931 102.99 102.99 66.61
Sites, in units of the cell vectors:
1 Cs 0.1911 0.1911 0.1064
2 Cs 0.8089 0.8089 0.8936
3 Zr 0.0000 0.0000 0.5000
4 As 0.3951 0.3951 0.7452
5 As 0.6049 0.6049 0.2548
6 Se 0.2144 0.7238 0.2674
7 Se 0.2397 0.2397 0.5113
8 Se 0.2762 0.7856 0.7326
9 Se 0.7238 0.2144 0.2674
10 Se 0.7603 0.7603 0.4887
11 Se 0.7856 0.2762 0.7326

Summary:
**Raw formation energy**: -0.7153 eV/atom
**Density of states at the Fermi level**: 1.1 states/eV/cell
**Spin magnetization**: 0.00 μB per atom
**Symmetry**: C2/m, No. 12

=====

(4)
## Cs2ZrAsSe4 (GGA-PBE)

Data for an optimized crystal structure of Cs2ZrAsSe4.

Lattice parameters (Å, degrees): 15.8936 13.9879 8.5640 86.08 61.41 32.52
Sites, in units of the cell vectors:
1 Cs 0.0495 0.0495 0.7005
2 Cs 0.2995 0.2995 0.9505
3 Cs 0.7005 0.7005 0.0495
4 Cs 0.9505 0.9505 0.2995
5 Zr 0.1250 0.1250 0.1250
6 Zr 0.8750 0.8750 0.8750
7 As 0.3750 0.3750 0.3750
8 As 0.6250 0.6250 0.6250
9 Se 0.0500 0.3137 0.4014
10 Se 0.2651 0.5986 0.6863
11 Se 0.3137 0.0500 0.7349
12 Se 0.4014 0.7349 0.0500
13 Se 0.5986 0.2651 0.9500
14 Se 0.6863 0.9500 0.2651
15 Se 0.7349 0.4014 0.3137
16 Se 0.9500 0.6863 0.5986

Summary:
**Raw formation energy**: -0.8688 eV/atom
**Density of states at the Fermi level**: 8.4 states/eV/cell
**Spin magnetization**: 0.00 μB per atom
**Symmetry**: Fddd, No. 70